1.
{
  "formula": "TbDy4YS8",
  "functional": "PBE",
  "state": "relaxed",
  "cell": [[-4.098, 5.252, -4.529], [-7.771, 1.448, 1.547], [-2.237, 7.096, 3.089]],
  "species": ["Tb", "Dy", "Dy", "Dy", "Dy", "Y", "S", "S", "S", "S", "S", "S", "S", "S"],
  "frac_coords": [[0.375, 0.375, 0.875], [0.625, 0.625, 0.125], [0.000, 0.500, 0.500], [0.500, 0.000, 0.500], [0.000, 0.000, 0.500], [0.000, 0.000, 0.000], [0.243, 0.774, 0.741], [0.774, 0.243, 0.741], [0.243, 0.243, 0.741], [0.242, 0.242, 0.274], [0.757, 0.228, 0.258], [0.228, 0.757, 0.258], [0.757, 0.757, 0.258], [0.758, 0.758, 0.727]],
  "e_tot_ev_per_atom": -6.4017
}



2.
{
  "formula": "TbDyY2S5",
  "functional": "PBE",
  "state": "relaxed",
  "cell": [[-3.186, 0.988, 2.027], [-2.888, -5.567, -5.587], [2.371, -9.731, 8.470]],
  "species": ["Tb", "Tb", "Dy", "Dy", "Y", "Y", "Y", "Y", "S", "S", "S", "S", "S", "S", "S", "S", "S", "S"],
  "frac_coords": [[0.562, 0.124, 0.943], [0.438, 0.876, 0.443], [0.759, 0.518, 0.540], [0.241, 0.482, 0.040], [0.867, 0.735, 0.801], [0.076, 0.152, 0.635], [0.133, 0.265, 0.301], [0.924, 0.848, 0.135], [0.398, 0.795, 0.983], [0.719, 0.439, 0.896], [0.498, 0.997, 0.758], [0.245, 0.490, 0.686], [0.918, 0.835, 0.582], [0.602, 0.205, 0.483], [0.281, 0.561, 0.396], [0.502, 0.003, 0.258], [0.755, 0.510, 0.186], [0.082, 0.165, 0.082]],
  "e_tot_ev_per_atom": -6.6319
}



3.
{
  "formula": "Tb4DyYS8",
  "functional": "PBE",
  "state": "relaxed",
  "cell": [[8.078, 0.000, 0.000], [4.039, 6.996, 0.000], [4.039, 2.332, 6.592]],
  "species": ["Tb", "Tb", "Tb", "Tb", "Dy", "Y", "S", "S", "S", "S", "S", "S", "S", "S"],
  "frac_coords": [[0.625, 0.625, 0.125], [0.000, 0.500, 0.500], [0.500, 0.000, 0.500], [0.000, 0.000, 0.500], [0.375, 0.375, 0.875], [0.000, 0.000, 0.999], [0.243, 0.771, 0.743], [0.771, 0.243, 0.743], [0.243, 0.243, 0.743], [0.243, 0.243, 0.271], [0.758, 0.227, 0.257], [0.227, 0.758, 0.257], [0.758, 0.758, 0.257], [0.757, 0.757, 0.728]],
  "e_tot_ev_per_atom": -6.4090
}



4.
{
  "formula": "Tb2DyYS4",
  "functional": "PBE",
  "state": "relaxed",
  "cell": [[3.888, 0.000, 0.000], [0.000, 6.806, -0.164], [0.000, 2.383, 6.375]],
  "species": ["Tb", "Tb", "Dy", "Y", "S", "S", "S", "S"],
  "frac_coords": [[0.000, 0.000, 0.000], [0.500, 0.000, 0.500], [0.000, 0.500, 0.500], [0.500, 0.500, 0.000], [0.000, 0.749, 0.750], [0.000, 0.251, 0.250], [0.500, 0.748, 0.251], [0.500, 0.252, 0.749]],
  "e_tot_ev_per_atom": -6.6051
}



5.
{
  "formula": "TbDyY4S8",
  "functional": "PBE",
  "state": "relaxed",
  "cell": [[-1.863, 7.755, 1.187], [-6.109, 1.978, 4.878], [1.493, 3.459, 7.133]],
  "species": ["Tb", "Dy", "Y", "Y", "Y", "Y", "S", "S", "S", "S", "S", "S", "S", "S"],
  "frac_coords": [[0.000, 0.000, 0.000], [0.375, 0.375, 0.875], [0.625, 0.625, 0.125], [0.000, 0.500, 0.500], [0.500, 0.000, 0.500], [0.000, 0.000, 0.500], [0.243, 0.772, 0.742], [0.772, 0.243, 0.742], [0.243, 0.243, 0.742], [0.243, 0.243, 0.272], [0.757, 0.227, 0.258], [0.227, 0.757, 0.258], [0.757, 0.757, 0.258], [0.758, 0.758, 0.727]],
  "e_tot_ev_per_atom": -6.8058
}



6.
{
  "formula": "Tb2Dy3YS6",
  "functional": "PBE",
  "state": "relaxed",
  "cell": [[-4.275, 1.273, -5.113], [6.319, -2.113, -1.279], [-2.681, -5.789, 2.295]],
  "species": ["Tb", "Tb", "Dy", "Dy", "Dy", "Y", "S", "S", "S", "S", "S", "S"],
  "frac_coords": [[0.333, 0.667, 0.000], [0.667, 0.333, 0.000], [0.167, 0.833, 0.500], [0.833, 0.167, 0.500], [0.500, 0.500, 0.500], [0.000, 0.000, 0.000], [0.916, 0.583, 0.748], [0.751, 0.751, 0.252], [0.084, 0.417, 0.252], [0.583, 0.916, 0.748], [0.249, 0.249, 0.748], [0.417, 0.084, 0.252]],
  "e_tot_ev_per_atom": -6.5278
}



7.
{
  "formula": "TbDy2ZrS4",
  "functional": "PBE",
  "state": "relaxed",
  "cell": [[3.869, 0.000, 0.000], [0.000, 6.677, 0.093], [0.000, -2.343, 6.259]],
  "species": ["Tb", "Dy", "Dy", "Zr", "S", "S", "S", "S"],
  "frac_coords": [[0.000, 0.000, 0.000], [0.500, 0.000, 0.500], [0.000, 0.500, 0.500], [0.500, 0.500, 0.000], [0.500, 0.255, 0.248], [0.500, 0.745, 0.752], [0.000, 0.257, 0.756], [0.000, 0.743, 0.244]],
  "e_tot_ev_per_atom": -6.6910
}



8.
{
  "formula": "Tb2DyZrS4",
  "functional": "PBE",
  "state": "relaxed",
  "cell": [[-0.416, -3.115, 2.268], [4.587, 2.450, 4.207], [-6.080, 2.124, 1.801]],
  "species": ["Tb", "Tb", "Dy", "Zr", "S", "S", "S", "S"],
  "frac_coords": [[0.500, 0.000, 0.500], [0.000, 0.500, 0.500], [0.000, 0.000, 0.000], [0.500, 0.500, 0.000], [0.500, 0.253, 0.244], [0.500, 0.747, 0.756], [0.000, 0.257, 0.759], [0.000, 0.743, 0.241]],
  "e_tot_ev_per_atom": -6.6995
}